No. 1
The following is a PBE calculation of a relaxed SrLiCr crystal, from Alexandria via LeMat-Bulk.

a = 6.3676 Å, b = 6.3676 Å, c = 6.3676 Å
α = 144.91°, β = 144.91°, γ = 50.46°
Last column: magnetic moment on the atom in μB.
Sites, in units of the cell vectors:
Li1 0.3696 0.3696 0.0000  0.00
Cr1 0.9687 0.9687 0.0000  3.99
Sr1 0.6617 0.6617 0.0000  0.01

Summary:
Distance to the lowest polymorph of the same formula in eV per atom: 0.000
E_form in eV/atom: 0.56
Space group: No. 107


No. 2
The following is a PBE calculation of a relaxed LiMgH6Pt2 crystal, from Alexandria via LeMat-Bulk.

a = 5.8362 Å, b = 5.8362 Å, c = 5.3918 Å
α = 100.19°, β = 100.19°, γ = 99.61°
Sites, in units of the cell vectors:
H1 0.3100 0.5272 0.3760
H2 0.8981 0.4385 0.1084
H3 0.8117 0.8064 0.4343
H4 0.1883 0.1936 0.5657
H5 0.8064 0.8117 0.9343
H6 0.1936 0.1883 0.0657
H7 0.5272 0.3100 0.8760
H8 0.4728 0.6900 0.1240
H9 0.5615 0.1019 0.3916
H10 0.4385 0.8981 0.6083
H11 0.1019 0.5615 0.8916
H12 0.6900 0.4728 0.6240
Mg1 0.8331 0.1669 0.7500
Mg2 0.1669 0.8331 0.2500
Pt1 0.6771 0.9396 0.1872
Pt2 0.0604 0.3229 0.3128
Pt3 0.9396 0.6771 0.6872
Pt4 0.3229 0.0604 0.8128
Li1 0.4089 0.5911 0.7500
Li2 0.5911 0.4089 0.2500

Summary:
Energy in eV for the cell shown: -76.3
Space group: No. 15


No. 3
The following is a PBE calculation of a relaxed Np2Al4CuAu3 crystal, from Alexandria via LeMat-Bulk.

a = 4.2956 Å, b = 4.2956 Å, c = 10.6128 Å
α = 90.00°, β = 90.00°, γ = 90.00°
Last column: magnetic moment on the atom in μB.
Sites, in units of the cell vectors:
Np1 0.0000 0.5000 0.7425  3.96
Np2 0.5000 0.0000 0.2575  3.96
Au1 0.5000 0.0000 0.8640  0.01
Au2 0.0000 0.0000 0.5000  0.01
Au3 0.0000 0.5000 0.1360  0.01
Al1 0.0000 0.5000 0.3720  0.00
Al2 0.5000 0.5000 0.0000  -0.01
Al3 0.0000 0.0000 0.0000  -0.01
Al4 0.5000 0.0000 0.6280  0.00
Cu1 0.5000 0.5000 0.5000  0.02

Summary:
E_form in eV/atom: -0.27
Space group: No. 115


No. 4
The following is a PBE calculation of a relaxed Y2AlCo crystal, from Alexandria via LeMat-Bulk.

a = 6.0777 Å, b = 6.0777 Å, c = 6.0777 Å
α = 148.47°, β = 132.48°, γ = 58.15°
Last column: magnetic moment on the atom in μB.
Sites, in units of the cell vectors:
Y1 0.7466 0.2466 0.5000  -0.08
Y2 0.0443 0.0443 0.0000  -0.04
Al1 0.4409 0.4409 0.0000  0.00
Co1 0.2682 0.7682 0.5000  0.61

Summary:
E_form in eV/atom: -0.21
Space group: No. 44


Across the entries above, volume takes the values 28.3 8.7 19.6 21.5 Å³/atom, respectively.